First-principles (PBE-GGA) data for a relaxed structure of PrBeW, as listed in OQMD via LeMat-Bulk.

Unit cell a=6.224 b=6.224 c=6.224 alpha=90.00 beta=90.00 gamma=90.00
Space group F-43m (No. 216)
One atom of each set of equivalent atoms:
Pr1 0.000 0.000 0.000
Be1 0.250 0.250 0.250
W1 0.000 0.000 0.500

Results
- total energy (eV per atom) = -6.19
- relative energy among the computed polymorphs (meV per atom) = 0



First-principles (PBE-GGA) data for a relaxed structure of PrYBe, as listed in OQMD via LeMat-Bulk.

Unit cell a=6.863 b=6.863 c=6.863 alpha=90.00 beta=90.00 gamma=90.00
Space group F-43m (No. 216)
One atom of each set of equivalent atoms:
Pr1 0.000 0.000 0.000
Y1 0.250 0.250 0.750
Be1 0.000 0.000 0.500

Results
- total energy (eV per atom) = -4.12
- relative energy among the computed polymorphs (meV per atom) = 0



First-principles (PBE-GGA) data for a relaxed structure of PrBeZn, as listed in OQMD via LeMat-Bulk.

Unit cell a=6.464 b=6.464 c=6.464 alpha=90.00 beta=90.00 gamma=90.00
Space group F-43m (No. 216)
One atom of each set of equivalent atoms:
Pr1 0.000 0.000 0.000
Be1 0.000 0.000 0.500
Zn1 0.250 0.250 0.750

Results
- total energy (eV per atom) = -3.02
- relative energy among the computed polymorphs (meV per atom) = 0



First-principles (PBE-GGA) data for a relaxed structure of PrBeZn, as listed in OQMD via LeMat-Bulk.

Unit cell a=6.682 b=6.682 c=6.682 alpha=90.00 beta=90.00 gamma=90.00
Space group F-43m (No. 216)
One atom of each set of equivalent atoms:
Pr1 0.000 0.000 0.000
Be1 0.250 0.250 0.250
Zn1 0.250 0.250 0.750

Results
- total energy (eV per atom) = -2.66
- relative energy among the computed polymorphs (meV per atom) = 360



First-principles (PBE-GGA) data for a relaxed structure of PrZrBe, as listed in OQMD via LeMat-Bulk.

Unit cell a=6.664 b=6.664 c=6.664 alpha=90.00 beta=90.00 gamma=90.00
Space group F-43m (No. 216)
One atom of each set of equivalent atoms:
Pr1 0.000 0.000 0.000
Zr1 0.250 0.250 0.250
Be1 0.250 0.250 0.750

Results
- total energy (eV per atom) = -4.42



First-principles (PBE-GGA) data for a relaxed structure of PuBePt, as listed in OQMD via LeMat-Bulk.

Unit cell a=5.937 b=5.937 c=5.937 alpha=90.00 beta=90.00 gamma=90.00
Space group F-43m (No. 216)
One atom of each set of equivalent atoms:
Pu1 0.000 0.000 0.000
Be1 0.250 0.250 0.750
Pt1 0.000 0.000 0.500

Results
- total energy (eV per atom) = -8.11
- relative energy among the computed polymorphs (meV per atom) = 0